Entry 1
Material: SmEr3Cd
Method: DFT, PBE
State: relaxed

**Total moment**: 0.00 μB per formula unit
**Crystal system**: monoclinic
**Space-group type**: P2_1/m, No. 11

```
SmEr3Cd
1.0
3.743 -0.329 0.000
-0.981 10.384 0.000
0.000 0.000 8.065
Sm Er Cd
2 6 2
direct
0.520 0.539 0.750 Sm
0.480 0.461 0.250 Sm
0.899 0.298 0.962 Er
0.101 0.702 0.038 Er
0.899 0.298 0.538 Er
0.101 0.702 0.462 Er
0.689 0.880 0.750 Er
0.311 0.120 0.250 Er
0.309 0.119 0.750 Cd
0.691 0.881 0.250 Cd
```

---

Entry 2
Material: SmEr3Cd
Method: DFT, PBE
State: relaxed

**Total moment**: 0.04 μB per formula unit
**Crystal system**: monoclinic
**Space-group type**: C2/m, No. 12

```
SmEr3Cd
1.0
-3.138 -1.789 0.498
0.717 -5.863 -3.188
4.861 -5.728 10.042
Sm Er Cd
2 6 2
direct
0.234 0.532 0.754 Sm
0.766 0.468 0.246 Sm
0.146 0.708 0.448 Er
0.366 0.268 0.022 Er
0.035 0.930 0.188 Er
0.854 0.292 0.552 Er
0.965 0.070 0.812 Er
0.634 0.732 0.978 Er
0.554 0.891 0.626 Cd
0.446 0.109 0.374 Cd
```

---

It comes down to entry 2, which is 16.3 kJ/mol of atoms more stable than the next structure.

---

Entry 1
Material: Sm6ErCd
Method: DFT, PBE
State: relaxed

**Total moment**: 0.00 μB per formula unit
**Crystal system**: triclinic
**Space-group type**: P-1, No. 2

```
Sm6ErCd
1.0
-7.270 4.550 3.912
-7.356 1.639 -4.246
-6.134 -1.203 1.351
Sm Er Cd
6 1 1
direct
0.044 0.452 0.744 Sm
0.759 0.956 0.737 Sm
0.548 0.241 0.167 Sm
0.241 0.044 0.263 Sm
0.956 0.548 0.256 Sm
0.452 0.759 0.833 Sm
0.500 0.500 0.500 Er
0.000 0.000 0.000 Cd
```

---

Entry 2
Material: Sm6ErCd
Method: DFT, PBE
State: relaxed

**Total moment**: 0.00 μB per formula unit
**Crystal system**: tetragonal
**Space-group type**: P4/mmm, No. 123

```
Sm6ErCd
1.0
4.973 0.000 0.000
0.000 4.973 0.000
0.000 0.000 10.175
Sm Er Cd
6 1 1
direct
0.500 0.500 0.000 Sm
0.500 0.500 0.500 Sm
0.500 0.000 0.245 Sm
0.500 0.000 0.755 Sm
0.000 0.500 0.245 Sm
0.000 0.500 0.755 Sm
0.000 0.000 0.500 Er
0.000 0.000 0.000 Cd
```

---

It comes down to entry 2, which is 7.4 kJ/mol of atoms more stable than the next structure.

---

Entry 1
Material: TbSmErCd
Method: DFT, PBE
State: relaxed

**Total moment**: 0.00 μB per formula unit
**Crystal system**: tetragonal
**Space-group type**: P4mm, No. 99

```
TbSmErCd
1.0
-1.690 -0.015 3.181
-3.180 -0.071 -1.690
0.174 -9.043 0.049
Tb Sm Er Cd
1 1 1 1
direct
0.500 0.500 0.796 Tb
0.000 0.000 0.073 Sm
0.500 0.500 0.348 Er
0.000 0.000 0.568 Cd
```

---

Entry 2
Material: TbSmErCd
Method: DFT, PBE
State: relaxed

**Total moment**: 0.00 μB per formula unit
**Crystal system**: cubic
**Space-group type**: F-43m, No. 216

```
TbSmErCd
1.0
-1.854 4.925 1.489
-1.847 0.804 5.085
2.877 3.061 3.502
Cd Tb Sm Er
1 1 1 1
direct
0.750 0.750 0.750 Cd
0.000 0.000 0.000 Tb
0.500 0.500 0.500 Sm
0.250 0.250 0.250 Er
```

---

It comes down to entry 1, which is 11.1 kJ/mol of atoms more stable than the next structure.